No. 1
# MgBe2VAg

MgBe2VAg after structural relaxation (PBE-GGA, the Alexandria database).

Output
Calculated formation energy = 1.103 eV/atom
DOS at the Fermi energy = 0.93 states/eV per atom
Total magnetization = 0.07 μB per cell
Excess energy over the best structure of this formula in the dataset = 0 meV per atom

Lattice parameters (Å, degrees): 4.2836 4.2836 4.6760 90.00 90.00 90.00
Last column: nearest neighbours and their distance in Å.
Fractional coordinates of all 5 atoms:
Mg 0.0000 0.0000 0.0000  2 Ag 2.34
Be 0.0000 0.5000 0.5000  2 Ag 2.14
Be 0.5000 0.0000 0.5000  2 Ag 2.14
V 0.5000 0.5000 0.0000  4 Mg 3.03, 8 Be 3.17
Ag 0.0000 0.0000 0.5000  4 Be 2.14, 2 Mg 2.34


No. 2
# SrMnCuP2

SrMnCuP2 after structural relaxation (PBE-GGA, the Alexandria database).

Output
Calculated formation energy = -0.635 eV/atom
DOS at the Fermi energy = 0.44 states/eV per atom
Total magnetization = 3.68 μB per cell

Lattice parameters (Å, degrees): 6.5520 6.5520 6.5520 144.95 144.95 50.41
Last column: nearest neighbours and their distance in Å.
Fractional coordinates of all 5 atoms:
Sr 0.0000 0.0000 0.0000  8 P 3.24, 4 Mn 3.56, 4 Cu 3.56
Mn 0.7500 0.2500 0.5000  4 P 2.37
Cu 0.2500 0.7500 0.5000  4 P 2.37
P 0.3605 0.3605 0.0000  2 Mn 2.37, 2 Cu 2.37
P 0.6395 0.6395 0.0000  2 Mn 2.37, 2 Cu 2.37


No. 3
# Sr2TlW

Sr2TlW after structural relaxation (PBE-GGA, the Alexandria database).

Output
Calculated formation energy = 0.880 eV/atom
DOS at the Fermi energy = 1.27 states/eV per atom
Total magnetization = 1.48 μB per cell
Excess energy over the best structure of this formula in the dataset = 165 meV per atom

Lattice parameters (Å, degrees): 5.9468 5.9468 3.3212 90.00 90.00 95.20
Last column: nearest neighbours and their distance in Å.
Fractional coordinates of all 4 atoms:
Sr 0.0000 0.5000 0.0000  2 Sr 3.32, 4 Tl 3.41, 4 W 3.41
Sr 0.5000 0.0000 0.0000  2 Sr 3.32, 4 Tl 3.41, 4 W 3.41
Tl 0.0000 0.0000 0.5000  2 Tl 3.32, 8 Sr 3.41
W 0.5000 0.5000 0.5000  2 W 3.32, 8 Sr 3.41


No. 4
# ErLu2Be

ErLu2Be after structural relaxation (PBE-GGA, the Alexandria database).

Output
Calculated formation energy = 0.049 eV/atom
DOS at the Fermi energy = 0.99 states/eV per atom
Total magnetization = 0.00 μB per cell
Excess energy over the best structure of this formula in the dataset = 0 meV per atom

Lattice parameters (Å, degrees): 3.3874 3.3874 8.4559 90.00 90.00 90.00
Last column: nearest neighbours and their distance in Å.
Fractional coordinates of all 4 atoms:
Er 0.0000 0.0000 0.0000  4 Er 3.39, 8 Lu 3.54
Lu 0.5000 0.5000 0.3075  4 Be 2.90
Lu 0.5000 0.5000 0.6925  4 Be 2.90
Be 0.0000 0.0000 0.5000  8 Lu 2.90


No. 5
# Al6TlS8

Al6TlS8 after structural relaxation (PBE-GGA, the Alexandria database).

Output
Raw formation energy = -16.3 kcal/mol of atoms
DOS at the Fermi energy = 0.38 states/eV per atom
Total magnetization = 0.00 μB per cell

Lattice parameters (Å, degrees): 6.7449 6.7449 6.7449 90.34 90.34 90.34
Last column: nearest neighbours and their distance in Å.
Fractional coordinates of all 15 atoms:
Al 0.2094 0.5683 0.3938  5 S 2.32-2.51
Al 0.3938 0.2094 0.5683  5 S 2.32-2.51
Al 0.4317 0.6062 0.7906  5 S 2.32-2.51
Al 0.5683 0.3938 0.2094  5 S 2.32-2.51
Al 0.6062 0.7906 0.4317  5 S 2.32-2.51
Al 0.7906 0.4317 0.6062  5 S 2.32-2.51
Tl 0.0000 0.0000 0.0000  2 S 2.98
S 0.1318 0.4014 0.7169  4 Al 2.42-2.51
S 0.2563 0.2563 0.2563  3 Al 2.32
S 0.2831 0.8682 0.5986  4 Al 2.42-2.51
S 0.4014 0.7169 0.1318  4 Al 2.42-2.51
S 0.5986 0.2831 0.8682  4 Al 2.42-2.51
S 0.7169 0.1318 0.4014  4 Al 2.42-2.51
S 0.7437 0.7437 0.7437  3 Al 2.32
S 0.8682 0.5986 0.2831  4 Al 2.42-2.51


No. 6
# TbErPu2Te5

TbErPu2Te5 after structural relaxation (PBE-GGA, the Alexandria database).

Output
Raw formation energy = -16.0 kcal/mol of atoms
DOS at the Fermi energy = 3.70 states/eV per atom
Total magnetization = 11.91 μB per cell

Lattice parameters (Å, degrees): 5.4911 5.4911 11.5606 90.00 90.00 90.00
Last column: nearest neighbours and their distance in Å.
Fractional coordinates of all 9 atoms:
Tb 0.0000 0.0000 0.0000  2 Te 2.84
Er 0.0000 0.0000 0.5000  6 Te 2.75-2.94
Pu 0.5000 0.5000 0.3177  5 Te 3.46-3.67
Pu 0.5000 0.5000 0.6823  5 Te 3.46-3.67
Te 0.0000 0.0000 0.2454  1 Tb 2.84, 1 Er 2.94
Te 0.0000 0.0000 0.7546  1 Tb 2.84, 1 Er 2.94
Te 0.0000 0.5000 0.5000  2 Er 2.75
Te 0.5000 0.0000 0.5000  2 Er 2.75
Te 0.5000 0.5000 0.0000  2 Pu 3.67, 4 Tb 3.88